Entry 1:
Density functional theory data (PBE) for an optimized crystal structure of La3Sm8Ho2.

Values from the calculation:
**Calculated volume**: 35.31 Å³/atom
**N(E_F)**: 21.085 states/eV/cell
**Total energy**: -58.74 eV/cell
**Mass density**: 7.05 g cm⁻³
**Polymorph energy (0 for the lowest one)**: 114 meV per atom
**Formation energy**: 21.9 kJ/mol of atoms

Unit cell a=5.767 b=7.767 c=10.957 alpha=110.76 beta=90.09 gamma=90.00
Atoms (fractional coordinates):
La  0.000  0.295  0.000
La  0.000  0.705  0.000
La  0.500  0.000  0.000
Sm  0.500  0.401  0.219
Sm  0.500  0.182  0.781
Sm  0.999  0.137  0.274
Sm  0.500  0.599  0.781
Sm  0.998  0.324  0.649
Sm  0.002  0.676  0.351
Sm  0.001  0.863  0.726
Sm  0.500  0.818  0.219
Ho  0.497  0.241  0.483
Ho  0.503  0.759  0.517

=====

Entry 2:
Density functional theory data (PBE) for an optimized crystal structure of RbTcNF2.

Values from the calculation:
**Calculated volume**: 14.99 Å³/atom
**N(E_F)**: 3.008 states/eV/cell
**ΔE_f (raw)**: -1.2379 eV per atom
**Total energy**: -29.59 eV/cell
**Mass density**: 5.22 g cm⁻³
**Polymorph energy (0 for the lowest one)**: 0 meV per atom

Unit cell a=4.447 b=4.447 c=3.790 alpha=90.00 beta=90.00 gamma=90.00
Atoms (fractional coordinates):
Tc  0.000  0.000  0.000
N  0.000  0.000  0.500
F  0.000  0.500  0.000
F  0.500  0.000  0.000
Rb  0.500  0.500  0.500

=====

Entry 3:
Density functional theory data (PBE) for an optimized crystal structure of Nb2ZnBSe.

Values from the calculation:
**Calculated volume**: 20.37 Å³/atom
**N(E_F)**: 4.840 states/eV/cell
**ΔE_f (raw)**: 1.5204 eV per atom
**Total energy**: -23.97 eV/cell
**Mass density**: 5.56 g cm⁻³

Unit cell a=4.767 b=4.483 c=4.767 alpha=90.00 beta=90.00 gamma=90.00
Atoms (fractional coordinates):
Nb  0.000  0.000  0.500
Nb  0.500  0.000  0.000
Zn  0.000  0.500  0.000
Se  0.000  0.000  0.000
B  0.500  0.500  0.500

=====

Entry 4:
Density functional theory data (PBE) for an optimized crystal structure of CaDyMgPt.

Values from the calculation:
**Calculated volume**: 23.39 Å³/atom
**N(E_F)**: 2.276 states/eV/cell
**Total energy**: -16.34 eV/cell
**Mass density**: 7.49 g cm⁻³
**Formation energy**: -50.6 kJ/mol of atoms

Unit cell a=5.096 b=5.096 c=5.096 alpha=60.00 beta=60.00 gamma=60.00
Atoms (fractional coordinates):
Mg  0.250  0.250  0.250
Ca  0.500  0.500  0.500
Pt  0.750  0.750  0.750
Dy  0.000  0.000  0.000

=====

Entry 5:
Density functional theory data (PBE) for an optimized crystal structure of SbICl.

Values from the calculation:
**Calculated volume**: 47.04 Å³/atom
**ΔE_f (raw)**: -0.4603 eV per atom
**Total energy**: -17.80 eV/cell
**Mass density**: 3.34 g cm⁻³
**Polymorph energy (0 for the lowest one)**: 0 meV per atom

Unit cell a=6.497 b=7.703 c=5.773 alpha=83.78 beta=97.13 gamma=82.96
Atoms (fractional coordinates):
Sb  0.819  0.913  0.518
Sb  0.626  0.278  0.522
Cl  0.551  0.324  0.098
Cl  0.895  0.868  0.942
I  0.427  0.803  0.464
I  0.019  0.389  0.576

=====

Entry 6:
Density functional theory data (PBE) for an optimized crystal structure of CaSb2Ru.

Values from the calculation:
**Calculated volume**: 22.38 Å³/atom
**N(E_F)**: 3.399 states/eV/cell
**ΔE_f (raw)**: 0.0437 eV per atom
**Total energy**: -19.35 eV/cell
**Mass density**: 7.14 g cm⁻³

Unit cell a=3.547 b=5.435 c=6.096 alpha=49.60 beta=90.00 gamma=90.00
Atoms (fractional coordinates):
Ru  0.000  0.000  0.500
Sb  0.000  0.000  0.000
Sb  0.500  0.500  0.000
Ca  0.500  0.500  0.500

=====

Entry 7:
Density functional theory data (PBE) for an optimized crystal structure of PrDyU2As4.

Values from the calculation:
**Calculated volume**: 25.23 Å³/atom
**N(E_F)**: 8.209 states/eV/cell
**Total energy**: -59.51 eV/cell
**Mass density**: 8.88 g cm⁻³
**Formation energy**: -107.9 kJ/mol of atoms

Unit cell a=4.112 b=7.126 c=7.286 alpha=109.00 beta=90.00 gamma=90.00
Atoms (fractional coordinates):
As  0.000  0.254  0.744
As  0.000  0.746  0.256
As  0.500  0.259  0.261
As  0.500  0.741  0.739
U  0.000  0.500  0.500
U  0.500  0.000  0.500
Pr  0.000  0.000  0.000
Dy  0.500  0.500  0.000

=====

Entry 8:
Density functional theory data (PBE) for an optimized crystal structure of Ag2AsPb2.

Values from the calculation:
**Calculated volume**: 24.84 Å³/atom
**N(E_F)**: 6.316 states/eV/cell
**Total energy**: -32.84 eV/cell
**Mass density**: 9.42 g cm⁻³
**Polymorph energy (0 for the lowest one)**: 147 meV per atom
**Formation energy**: 26.0 kJ/mol of atoms

Unit cell a=8.592 b=8.592 c=3.366 alpha=90.00 beta=90.00 gamma=90.00
Atoms (fractional coordinates):
Pb  0.184  0.316  0.000
Pb  0.316  0.816  0.000
Pb  0.816  0.684  0.000
Pb  0.684  0.184  0.000
Ag  0.114  0.614  0.500
Ag  0.886  0.386  0.500
Ag  0.386  0.114  0.500
Ag  0.614  0.886  0.500
As  0.000  0.000  0.000
As  0.500  0.500  0.000

=====

Entry 9:
Density functional theory data (PBE) for an optimized crystal structure of Mg3Pa3GaN8.

Values from the calculation:
**Calculated volume**: 13.67 Å³/atom
**ΔE_f (raw)**: -0.9653 eV per atom
**Total energy**: -117.38 eV/cell
**Mass density**: 7.67 g cm⁻³

Unit cell a=6.791 b=6.787 c=6.465 alpha=121.70 beta=90.00 gamma=120.02
Atoms (fractional coordinates):
N  0.236  0.988  0.723
N  0.749  0.499  0.748
N  0.764  0.012  0.277
N  0.248  0.012  0.277
N  0.251  0.501  0.252
N  0.765  0.530  0.277
N  0.752  0.988  0.723
N  0.235  0.470  0.723
Pa  0.000  0.500  0.500
Pa  0.500  0.000  0.500
Pa  0.500  0.500  0.500
Mg  0.000  0.500  0.000
Mg  0.500  0.500  0.000
Mg  0.000  0.000  0.000
Ga  0.000  0.000  0.500

=====

Entry 10:
Density functional theory data (PBE) for an optimized crystal structure of Li2Tl3PtO6.

Values from the calculation:
**Calculated volume**: 15.22 Å³/atom
**N(E_F)**: 4.722 states/eV/cell
**ΔE_f (raw)**: -0.8540 eV per atom
**Total energy**: -56.96 eV/cell
**Mass density**: 8.35 g cm⁻³

Unit cell a=5.877 b=5.877 c=6.106 alpha=90.00 beta=90.00 gamma=120.00
Atoms (fractional coordinates):
Pt  0.000  0.000  0.500
O  0.153  0.847  0.292
O  0.847  0.695  0.708
O  0.305  0.153  0.708
O  0.153  0.305  0.292
O  0.847  0.153  0.708
O  0.695  0.847  0.292
Li  0.667  0.333  0.764
Li  0.333  0.667  0.236
Tl  0.667  0.333  0.304
Tl  0.333  0.667  0.696
Tl  0.000  0.000  0.000

=====

Entry 11:
Density functional theory data (PBE) for an optimized crystal structure of PmScZnPt2.

Values from the calculation:
**Calculated volume**: 20.53 Å³/atom
**N(E_F)**: 2.946 states/eV/cell
**Total energy**: -29.38 eV/cell
**Mass density**: 10.44 g cm⁻³
**Formation energy**: -95.4 kJ/mol of atoms

Unit cell a=4.051 b=4.051 c=6.880 alpha=107.12 beta=107.12 gamma=90.00
Atoms (fractional coordinates):
Zn  0.250  0.750  0.500
Pt  0.391  0.391  0.783
Pt  0.609  0.609  0.217
Sc  0.750  0.250  0.500
Pm  0.000  0.000  0.000

=====

Entry 12:
Density functional theory data (PBE) for an optimized crystal structure of Al2HgPb.

Values from the calculation:
**Calculated volume**: 23.21 Å³/atom
**N(E_F)**: 1.102 states/eV/cell
**Total energy**: -10.71 eV/cell
**Mass density**: 8.26 g cm⁻³
**Polymorph energy (0 for the lowest one)**: 51 meV per atom
**Formation energy**: 19.0 kJ/mol of atoms

Unit cell a=10.073 b=10.073 c=10.073 alpha=18.81 beta=18.81 gamma=18.81
Atoms (fractional coordinates):
Hg  0.511  0.511  0.511
Pb  0.749  0.749  0.749
Al  0.251  0.251  0.251
Al  0.989  0.989  0.989

=====

Entry 13:
Density functional theory data (PBE) for an optimized crystal structure of TaB2PPd.

Values from the calculation:
**Calculated volume**: 15.29 Å³/atom
**N(E_F)**: 3.612 states/eV/cell
**Total energy**: -29.68 eV/cell
**Mass density**: 7.38 g cm⁻³
**Formation energy**: 118.3 kJ/mol of atoms

Unit cell a=3.897 b=5.035 c=3.897 alpha=90.00 beta=90.00 gamma=90.00
Atoms (fractional coordinates):
B  0.500  0.000  0.000
B  0.000  0.000  0.500
Pd  0.000  0.000  0.000
Ta  0.500  0.500  0.500
P  0.000  0.500  0.000

=====

Entry 14:
Density functional theory data (PBE) for an optimized crystal structure of SiHgNO2.

Values from the calculation:
**Calculated volume**: 14.84 Å³/atom
**N(E_F)**: 3.060 states/eV/cell
**ΔE_f (raw)**: 1.3167 eV per atom
**Total energy**: -17.38 eV/cell
**Mass density**: 6.15 g cm⁻³

Unit cell a=4.242 b=4.242 c=4.123 alpha=90.00 beta=90.00 gamma=90.00
Atoms (fractional coordinates):
N  0.000  0.000  0.500
Si  0.500  0.500  0.500
O  0.500  0.000  0.000
O  0.000  0.500  0.000
Hg  0.000  0.000  0.000

=====

Entry 15:
Density functional theory data (PBE) for an optimized crystal structure of KHf2SbS.

Values from the calculation:
**Calculated volume**: 34.00 Å³/atom
**N(E_F)**: 4.010 states/eV/cell
**ΔE_f (raw)**: 0.8713 eV per atom
**Total energy**: -24.90 eV/cell
**Mass density**: 5.37 g cm⁻³

Unit cell a=5.415 b=5.796 c=5.415 alpha=90.00 beta=90.00 gamma=90.00
Atoms (fractional coordinates):
Hf  0.500  0.000  0.000
Hf  0.000  0.000  0.500
Sb  0.000  0.000  0.000
S  0.000  0.500  0.000
K  0.500  0.500  0.500

=====

Entry 16:
Density functional theory data (PBE) for an optimized crystal structure of BaLiSiPd2.

Values from the calculation:
**Calculated volume**: 22.27 Å³/atom
**N(E_F)**: 3.458 states/eV/cell
**ΔE_f (raw)**: -0.4548 eV per atom
**Total energy**: -21.92 eV/cell
**Mass density**: 5.74 g cm⁻³

Unit cell a=4.805 b=4.805 c=4.823 alpha=90.00 beta=90.00 gamma=90.00
Atoms (fractional coordinates):
Si  0.000  0.000  0.000
Li  0.000  0.000  0.500
Pd  0.500  0.000  0.000
Pd  0.000  0.500  0.000
Ba  0.500  0.500  0.500

=====

Entry 17:
Density functional theory data (PBE) for an optimized crystal structure of SnPSeBr2.

Values from the calculation:
**Calculated volume**: 26.28 Å³/atom
**N(E_F)**: 1.055 states/eV/cell
**ΔE_f (raw)**: 0.0633 eV per atom
**Total energy**: -15.93 eV/cell
**Mass density**: 4.91 g cm⁻³
**Polymorph energy (0 for the lowest one)**: 0 meV per atom

Unit cell a=5.015 b=5.015 c=5.226 alpha=90.00 beta=90.00 gamma=90.00
Atoms (fractional coordinates):
Se  0.000  0.000  0.500
Sn  0.500  0.500  0.500
Br  0.500  0.000  0.000
Br  0.000  0.500  0.000
P  0.000  0.000  0.000

=====

Entry 18:
Density functional theory data (PBE) for an optimized crystal structure of Ce2Ho2In3.

Values from the calculation:
**Calculated volume**: 26.18 Å³/atom
**N(E_F)**: 11.159 states/eV/cell
**Total energy**: -31.55 eV/cell
**Mass density**: 8.65 g cm⁻³
**Formation energy**: -31.8 kJ/mol of atoms

Unit cell a=4.506 b=3.389 c=12.213 alpha=90.00 beta=79.37 gamma=90.00
Atoms (fractional coordinates):
Ho  0.572  0.500  0.857
Ho  0.428  0.500  0.143
In  0.142  0.000  0.716
In  0.858  0.000  0.284
In  0.000  0.000  0.000
Ce  0.285  0.500  0.430
Ce  0.715  0.500  0.570

=====

Entry 19:
Density functional theory data (PBE) for an optimized crystal structure of VAgSe.

Values from the calculation:
**Calculated volume**: 19.26 Å³/atom
**N(E_F)**: 3.170 states/eV/cell
**ΔE_f (raw)**: -0.1569 eV per atom
**Total energy**: -31.85 eV/cell
**Mass density**: 6.83 g cm⁻³
**Polymorph energy (0 for the lowest one)**: 0 meV per atom

Unit cell a=3.329 b=3.329 c=10.425 alpha=90.00 beta=90.00 gamma=90.00
Atoms (fractional coordinates):
Se  0.000  0.500  0.654
Se  0.500  0.000  0.346
Ag  0.000  0.500  0.928
Ag  0.500  0.000  0.072
V  0.000  0.500  0.247
V  0.500  0.000  0.753

=====

Entry 20:
Density functional theory data (PBE) for an optimized crystal structure of Mn4Al3.

Values from the calculation:
**Calculated volume**: 12.07 Å³/atom
**N(E_F)**: 5.892 states/eV/cell
**Total energy**: -49.28 eV/cell
**Mass density**: 5.91 g cm⁻³
**Formation energy**: -19.0 kJ/mol of atoms

Unit cell a=10.610 b=10.610 c=10.610 alpha=164.57 beta=164.57 gamma=21.88
Atoms (fractional coordinates):
Mn  0.138  0.138  0.000
Mn  0.862  0.862  0.000
Mn  0.573  0.573  0.000
Mn  0.427  0.427  0.000
Al  0.295  0.295  0.000
Al  0.000  0.000  0.000
Al  0.705  0.705  0.000

=====

Entry 21:
Density functional theory data (PBE) for an optimized crystal structure of HgIBr2.

Values from the calculation:
**Calculated volume**: 40.55 Å³/atom
**N(E_F)**: 4.932 states/eV/cell
**ΔE_f (raw)**: -0.0209 eV per atom
**Total energy**: -5.28 eV/cell
**Mass density**: 4.99 g cm⁻³
**Polymorph energy (0 for the lowest one)**: 191 meV per atom

Unit cell a=12.544 b=12.544 c=12.544 alpha=17.87 beta=17.87 gamma=17.87
Atoms (fractional coordinates):
Br  0.065  0.065  0.065
Br  0.935  0.935  0.935
I  0.500  0.500  0.500
Hg  0.000  0.000  0.000

=====

Entry 22:
Density functional theory data (PBE) for an optimized crystal structure of Sb2TeW.

Values from the calculation:
**Calculated volume**: 22.77 Å³/atom
**N(E_F)**: 3.823 states/eV/cell
**ΔE_f (raw)**: 0.9462 eV per atom
**Total energy**: -20.55 eV/cell
**Mass density**: 10.12 g cm⁻³

Unit cell a=5.159 b=5.159 c=3.423 alpha=90.00 beta=90.00 gamma=90.00
Atoms (fractional coordinates):
Te  0.500  0.000  0.500
W  0.000  0.500  0.500
Sb  0.000  0.000  0.000
Sb  0.500  0.500  0.000

=====

Entry 23:
Density functional theory data (PBE) for an optimized crystal structure of K2BaTlRu.

Values from the calculation:
**Calculated volume**: 41.77 Å³/atom
**N(E_F)**: 7.621 states/eV/cell
**Total energy**: -12.13 eV/cell
**Mass density**: 4.14 g cm⁻³
**Formation energy**: 70.1 kJ/mol of atoms

Unit cell a=6.253 b=5.342 c=6.253 alpha=90.00 beta=90.00 gamma=90.00
Atoms (fractional coordinates):
Ba  0.500  0.500  0.500
K  0.500  0.000  0.000
K  0.000  0.000  0.500
Ru  0.000  0.500  0.000
Tl  0.000  0.000  0.000